Entry from Alexandria: a relaxed structure of LaV2TcO8 (PBE with a Hubbard U).

Unit cell a=5.2471 b=5.2471 c=7.0633 alpha=90.41 beta=90.41 gamma=67.24
Closest atoms and distances in Å follow each position.
Atoms (fractional coordinates):
La (0.0000, 0.0000, 0.0000)  6 O 2.46-2.47
V (0.3614, 0.3614, 0.7237)  4 O 1.71-1.82
V (0.6386, 0.6386, 0.2763)  4 O 1.71-1.82
Tc (0.0000, 0.0000, 0.5000)  6 O 1.99-2.05
O (0.2129, 0.7361, 0.7118)  1 V 1.82
O (0.2240, 0.2240, 0.5502)  1 V 1.71
O (0.2639, 0.7871, 0.2882)  1 V 1.82
O (0.2768, 0.2768, 0.9414)  1 V 1.71
O (0.7232, 0.7232, 0.0586)  1 V 1.71
O (0.7361, 0.2129, 0.7118)  1 V 1.82
O (0.7760, 0.7760, 0.4498)  1 V 1.71
O (0.7871, 0.2639, 0.2882)  1 V 1.82

Calculated values
As for the final energy: -7.9150 eV/atom.